VASP calculation (SCAN) on a crystal of Cd4Au5 relaxed with PBEsol.

The structure in CIF format:
```
data_Cd4Au5
_chemical_formula_sum 'Cd8 Au10'
_cell_length_a 8.753
_cell_length_b 8.753
_cell_length_c 4.241
_cell_angle_alpha 90.00
_cell_angle_beta 90.00
_cell_angle_gamma 90.00
_space_group_name_H-M_alt 'I 4/m m m'
_space_group_IT_number 139
_space_group_name_Hall '-I 4 2'
loop_
_atom_site_label
_atom_site_fract_x
_atom_site_fract_y
_atom_site_fract_z
Cd1 0.000 0.325 0.000
Au1 0.000 0.000 0.000
Au2 0.167 0.167 0.500
```

The size of the total moment comes out at 0.0 μB per formula unit. The value obtained for the energy relative to the lowest polymorph listed for this composition is 24 meV/atom.

VASP calculation (SCAN) on a crystal of RbBaTa2Cl relaxed with PBEsol.

The structure in CIF format:
```
data_RbBaTa2Cl
_chemical_formula_sum 'Rb1 Ba1 Ta2 Cl1'
_cell_length_a 5.147
_cell_length_b 5.147
_cell_length_c 11.961
_cell_angle_alpha 90.00
_cell_angle_beta 90.00
_cell_angle_gamma 90.00
_space_group_name_H-M_alt 'P 4/m m m'
_space_group_IT_number 123
_space_group_name_Hall '-P 4 2'
loop_
_atom_site_label
_atom_site_fract_x
_atom_site_fract_y
_atom_site_fract_z
Rb1 0.000 0.000 0.000
Ba1 0.000 0.000 0.500
Ta1 0.000 0.500 0.500
Cl1 0.500 0.500 0.000
```

The size of the total moment comes out at 2.1 μB per formula unit. The energy relative to the elements, uncorrected comes out at 2.118 eV per atom.

VASP calculation (SCAN) on a crystal of MgAl2Cd relaxed with PBEsol.

The structure in CIF format:
```
data_MgAl2Cd
_chemical_formula_sum 'Mg1 Al2 Cd1'
_cell_length_a 2.990
_cell_length_b 2.990
_cell_length_c 8.476
_cell_angle_alpha 90.00
_cell_angle_beta 90.00
_cell_angle_gamma 90.00
_space_group_name_H-M_alt 'P 4/m m m'
_space_group_IT_number 123
_space_group_name_Hall '-P 4 2'
loop_
_atom_site_label
_atom_site_fract_x
_atom_site_fract_y
_atom_site_fract_z
Mg1 0.000 0.000 0.000
Al1 0.500 0.500 0.249
Cd1 0.000 0.000 0.500
```

As for the total energy: -12.654 eV/atom. The size of the total moment comes out at 0.0 μB per formula unit.

VASP calculation (SCAN) on a crystal of TlNiP2 relaxed with PBEsol.

The structure in CIF format:
```
data_TlNiP2
_chemical_formula_sum 'Tl1 Ni1 P2'
_cell_length_a 4.095
_cell_length_b 3.632
_cell_length_c 5.035
_cell_angle_alpha 90.00
_cell_angle_beta 106.06
_cell_angle_gamma 90.00
_space_group_name_H-M_alt 'P 1 2/m 1'
_space_group_IT_number 10
loop_
_space_group_symop_operation_xyz
'x,y,z'
'-x,-y,-z'
'-x,y,-z'
'x,-y,z'
loop_
_atom_site_label
_atom_site_fract_x
_atom_site_fract_y
_atom_site_fract_z
Tl1 0.000 0.000 0.000
Ni1 0.500 0.000 0.500
P1 0.269 0.500 0.625
```

The size of the total moment comes out at 0.0 μB per formula unit. The value obtained for the energy relative to the lowest polymorph listed for this composition is 0 meV/atom.

VASP calculation (SCAN) on a crystal of YSc2In relaxed with PBEsol.

The structure in CIF format:
```
data_YSc2In
_chemical_formula_sum 'Y2 Sc4 In2'
_cell_length_a 4.519
_cell_length_b 4.519
_cell_length_c 9.362
_cell_angle_alpha 90.00
_cell_angle_beta 90.00
_cell_angle_gamma 90.00
_space_group_name_H-M_alt 'I 4/m m m'
_space_group_IT_number 139
_space_group_name_Hall '-I 4 2'
loop_
_atom_site_label
_atom_site_fract_x
_atom_site_fract_y
_atom_site_fract_z
Y1 0.000 0.000 0.000
Sc1 0.000 0.500 0.250
In1 0.000 0.000 0.500
```

As for the total energy: -22.719 eV/atom. The size of the total moment comes out at 1.7 μB per formula unit.

VASP calculation (SCAN) on a crystal of FePt2Rh relaxed with PBEsol.

The structure in CIF format:
```
data_FePt2Rh
_chemical_formula_sum 'Fe1 Pt2 Rh1'
_cell_length_a 2.690
_cell_length_b 3.798
_cell_length_c 5.408
_cell_angle_alpha 90.00
_cell_angle_beta 90.00
_cell_angle_gamma 90.00
_space_group_name_H-M_alt 'P m m m'
_space_group_IT_number 47
loop_
_space_group_symop_operation_xyz
'x,y,z'
'-x,-y,-z'
'-x,-y,z'
'x,y,-z'
'x,-y,-z'
'-x,y,z'
'-x,y,-z'
'x,-y,z'
loop_
_atom_site_label
_atom_site_fract_x
_atom_site_fract_y
_atom_site_fract_z
Fe1 0.000 0.000 0.000
Pt1 0.500 0.500 0.246
Rh1 0.000 0.000 0.500
```

As for the total energy: -48.311 eV/atom. The size of the total moment comes out at 3.2 μB per formula unit.

VASP calculation (SCAN) on a crystal of BaSbPb2 relaxed with PBEsol.

The structure in CIF format:
```
data_BaSbPb2
_chemical_formula_sum 'Ba4 Sb4 Pb8'
_cell_length_a 8.028
_cell_length_b 8.028
_cell_length_c 8.028
_cell_angle_alpha 90.00
_cell_angle_beta 90.00
_cell_angle_gamma 90.00
_space_group_name_H-M_alt 'F -4 3 m'
_space_group_IT_number 216
_space_group_name_Hall 'F -4 2 3'
loop_
_atom_site_label
_atom_site_fract_x
_atom_site_fract_y
_atom_site_fract_z
Ba1 0.000 0.000 0.000
Sb1 0.250 0.250 0.750
Pb1 0.000 0.000 0.500
Pb2 0.250 0.250 0.250
```

The size of the total moment comes out at 0.0 μB per formula unit. The energy relative to the elements, uncorrected comes out at -0.362 eV per atom.

VASP calculation (SCAN) on a crystal of ScReW2 relaxed with PBEsol.

The structure in CIF format:
```
data_ScReW2
_chemical_formula_sum 'Sc3 Re3 W6'
_cell_length_a 2.8858
_cell_length_b 2.8858
_cell_length_c 27.3208
_cell_angle_alpha 90.00
_cell_angle_beta 90.00
_cell_angle_gamma 120.00
_space_group_name_H-M_alt 'R 3 m'
_space_group_IT_number 160
_space_group_name_Hall 'R 3 -2"'
loop_
_atom_site_label
_atom_site_fract_x
_atom_site_fract_y
_atom_site_fract_z
Sc1 0.0000 0.0000 0.0000
Re1 0.0000 0.0000 0.2487
W1 0.0000 0.0000 0.5058
W2 0.0000 0.0000 0.7560
```

The size of the total moment comes out at 0.0 μB per formula unit. The value obtained for the energy relative to the lowest polymorph listed for this composition is 225 meV/atom.